(1)
VASP calculation (SCAN) on a crystal of TaTi3O relaxed with PBEsol.

Cell lengths 4.1268, 4.1268, 4.1268 Å; angles 90.00, 90.00, 90.00 degrees
Last column: nearest neighbours and their distance in Å.
Atoms (fractional coordinates):
Ta 0.5000 0.5000 0.5000  12 Ti 2.92
O 0.0000 0.0000 0.0000  6 Ti 2.06
Ti 0.0000 0.5000 0.0000  2 O 2.06
Ti 0.0000 0.0000 0.5000  2 O 2.06
Ti 0.5000 0.0000 0.0000  2 O 2.06

Properties
* energy relative to the elements, uncorrected: -1.1705 eV per atom
* spin magnetization: 0.00 μB/cell

***

(2)
VASP calculation (SCAN) on a crystal of Ta2TiO6 relaxed with PBEsol.

Cell lengths 5.6273, 5.6273, 7.3611 Å; angles 70.36, 70.36, 74.36 degrees
Last column: nearest neighbours and their distance in Å.
Atoms (fractional coordinates):
Ta 0.3205 0.3205 0.1777  6 O 1.97-2.10
Ta 0.6795 0.6795 0.8223  6 O 1.97-2.10
Ta 0.0000 0.0000 0.5000  6 O 1.99-2.10
Ta 0.0000 0.0000 0.0000  6 O 1.98-2.03
Ti 0.3456 0.3456 0.6460  6 O 1.93-2.15
Ti 0.6544 0.6544 0.3540  6 O 1.93-2.15
O 0.2318 0.2318 0.9682  2 Ta 1.99-2.01, 1 Ti 2.15
O 0.5589 0.5589 0.6510  2 Ti 1.93-1.98, 1 Ta 1.98
O 0.9079 0.9079 0.2969  2 Ta 1.98-1.99, 1 Ti 2.13
O 0.4411 0.4411 0.3490  2 Ti 1.93-1.98, 1 Ta 1.98
O 0.7682 0.7682 0.0318  2 Ta 1.99-2.01, 1 Ti 2.15
O 0.0921 0.0921 0.7031  2 Ta 1.98-1.99, 1 Ti 2.13
O 0.9598 0.3861 0.3317  1 Ti 1.96, 2 Ta 1.97-2.10
O 0.2985 0.7015 0.0000  3 Ta 2.03-2.10
O 0.6139 0.0402 0.6683  1 Ti 1.96, 2 Ta 1.97-2.10
O 0.3861 0.9598 0.3317  1 Ti 1.96, 2 Ta 1.97-2.10
O 0.7015 0.2985 0.0000  3 Ta 2.03-2.10
O 0.0402 0.6139 0.6683  1 Ti 1.96, 2 Ta 1.97-2.10

Properties
* energy relative to the elements, uncorrected: -2.9985 eV per atom
* spin magnetization: 0.48 μB/cell

***

(3)
VASP calculation (SCAN) on a crystal of Tm3TaO7 relaxed with PBEsol.

Cell lengths 7.2546, 7.3807, 10.3274 Å; angles 90.00, 90.00, 90.00 degrees
Last column: nearest neighbours and their distance in Å.
Atoms (fractional coordinates):
Tm 0.9828 0.2037 0.2500  6 O 2.24-2.33
Tm 0.7487 0.0351 0.5223  6 O 2.19-2.37
Tm 0.7487 0.0351 0.9777  6 O 2.19-2.37
Tm 0.7513 0.5351 0.0223  6 O 2.19-2.37
Tm 0.7513 0.5351 0.4777  6 O 2.19-2.37
Tm 0.5172 0.7037 0.7500  6 O 2.24-2.33
Tm 0.4828 0.2963 0.2500  6 O 2.24-2.33
Tm 0.2487 0.4649 0.5223  6 O 2.19-2.37
Tm 0.2487 0.4649 0.9777  6 O 2.19-2.37
Tm 0.2513 0.9649 0.0223  6 O 2.19-2.37
Tm 0.2513 0.9649 0.4777  6 O 2.19-2.37
Tm 0.0172 0.7963 0.7500  6 O 2.24-2.33
Ta 0.0031 0.2490 0.7500  6 O 1.92-2.02
Ta 0.4969 0.7490 0.2500  6 O 1.92-2.02
Ta 0.5031 0.2510 0.7500  6 O 1.92-2.02
Ta 0.9969 0.7510 0.2500  6 O 1.92-2.02
O 0.9592 0.9575 0.1237  1 Ta 2.02, 2 Tm 2.22-2.24
O 0.9592 0.9575 0.3763  1 Ta 2.02, 2 Tm 2.22-2.24
O 0.9550 0.4086 0.6071  1 Ta 1.92
O 0.9550 0.4086 0.8929  1 Ta 1.92
O 0.7513 0.6515 0.2500  2 Ta 1.93-1.98
O 0.7400 0.2689 0.1163  4 Tm 2.19-2.33
O 0.7400 0.2689 0.3837  4 Tm 2.19-2.33
O 0.7600 0.7689 0.6163  4 Tm 2.19-2.33
O 0.7600 0.7689 0.8837  4 Tm 2.19-2.33
O 0.7487 0.1515 0.7500  2 Ta 1.93-1.98
O 0.5450 0.9086 0.1071  1 Ta 1.92
O 0.5450 0.9086 0.3929  1 Ta 1.92
O 0.5408 0.4575 0.6237  1 Ta 2.02, 2 Tm 2.22-2.24
O 0.5408 0.4575 0.8763  1 Ta 2.02, 2 Tm 2.22-2.24
O 0.4592 0.5425 0.1237  1 Ta 2.02, 2 Tm 2.22-2.24
O 0.4592 0.5425 0.3763  1 Ta 2.02, 2 Tm 2.22-2.24
O 0.4550 0.0914 0.6071  1 Ta 1.92
O 0.4550 0.0914 0.8929  1 Ta 1.92
O 0.2513 0.8485 0.2500  2 Ta 1.93-1.98
O 0.2400 0.2311 0.1163  4 Tm 2.19-2.33
O 0.2400 0.2311 0.3837  4 Tm 2.19-2.33
O 0.2600 0.7311 0.6163  4 Tm 2.19-2.33
O 0.2600 0.7311 0.8837  4 Tm 2.19-2.33
O 0.2487 0.3485 0.7500  2 Ta 1.93-1.98
O 0.0450 0.5914 0.1071  1 Ta 1.92
O 0.0450 0.5914 0.3929  1 Ta 1.92
O 0.0408 0.0425 0.6237  1 Ta 2.02, 2 Tm 2.22-2.24
O 0.0408 0.0425 0.8763  1 Ta 2.02, 2 Tm 2.22-2.24

Properties
* energy relative to the elements, uncorrected: -3.7560 eV per atom
* spin magnetization: 0.00 μB/cell
* excess energy over the best structure of this formula in the dataset: 17.5 meV per atom